First-principles (PBE-GGA) data for Nd12Tl6Pt after structural relaxation, as listed in Alexandria.

```
Nd12Tl6Pt
1.0
8.5631 0.3685 0.4415
-0.9339 8.5199 0.4415
-0.9339 -1.0881 8.4617
Tl Nd Pt
6 12 1
direct
0.1373 0.7315 0.3399
0.7315 0.3399 0.1373
0.3399 0.1373 0.7315
0.8627 0.2685 0.6601
0.2685 0.6601 0.8627
0.6601 0.8627 0.2685
0.9050 0.6775 0.0256
0.4312 0.5468 0.1996
0.3225 0.9744 0.0950
0.0950 0.3225 0.9744
0.8004 0.5688 0.4532
0.5688 0.4532 0.8004
0.1996 0.4312 0.5468
0.9744 0.0950 0.3225
0.4532 0.8004 0.5688
0.6775 0.0256 0.9050
0.0256 0.9050 0.6775
0.5468 0.1996 0.4312
0.0000 0.0000 0.0000
```

=====

First-principles (PBE-GGA) data for Nd2TlPt after structural relaxation, as listed in Alexandria.

```
Nd2TlPt
1.0
3.6700 0.0000 0.0000
0.0000 3.6700 0.0000
0.0000 0.0000 7.9283
Nd Pt Tl
2 1 1
direct
0.0000 0.0000 0.2187
0.0000 0.0000 0.7813
0.5000 0.5000 0.0000
0.5000 0.5000 0.5000
```

=====

First-principles (PBE-GGA) data for NdTlPt5 after structural relaxation, as listed in Alexandria.

```
NdTlPt5
1.0
-1.2144 5.2229 -0.1227
-6.9806 -1.7482 -5.3255
-6.5832 -1.3178 9.0618
Pt Nd Tl
20 4 4
direct
0.7500 0.8082 0.7300
0.2500 0.5703 0.0086
0.0039 0.0669 0.7006
0.7500 0.4297 0.9914
0.2500 0.0703 0.4914
0.7500 0.5326 0.5897
0.4961 0.5669 0.7994
0.2500 0.4674 0.4103
0.9961 0.9331 0.2994
0.2500 0.6918 0.2300
0.9961 0.4331 0.2006
0.7500 0.3082 0.7700
0.2500 0.9674 0.0897
0.5039 0.9331 0.2994
0.5039 0.4331 0.2006
0.7500 0.9297 0.5086
0.0039 0.5669 0.7994
0.7500 0.0326 0.9103
0.2500 0.1918 0.2700
0.4961 0.0669 0.7006
0.2500 0.2471 0.9306
0.2500 0.7471 0.5694
0.7500 0.2529 0.4306
0.7500 0.7529 0.0694
0.7500 0.6470 0.3671
0.2500 0.8530 0.8671
0.7500 0.1470 0.1329
0.2500 0.3530 0.6329
```

=====

First-principles (PBE-GGA) data for Nd12TlPt6 after structural relaxation, as listed in Alexandria.

```
Nd12TlPt6
1.0
8.4563 0.0000 -2.9897
-4.2281 7.3233 -2.9897
0.0000 0.0000 8.9692
Pt Nd Tl
6 12 1
direct
0.8652 0.3652 0.5000
0.1348 0.6348 0.5000
0.3652 0.5000 0.8652
0.6348 0.5000 0.1348
0.5000 0.8652 0.3652
0.5000 0.1348 0.6348
0.8193 0.3031 0.1224
0.1807 0.3031 0.4838
0.3031 0.4838 0.1807
0.3031 0.1224 0.8193
0.5162 0.8193 0.6969
0.8776 0.1807 0.6969
0.6969 0.8776 0.1807
0.8193 0.6969 0.5162
0.1807 0.6969 0.8776
0.6969 0.5162 0.8193
0.1224 0.8193 0.3031
0.4838 0.1807 0.3031
0.0000 0.0000 0.0000
```

=====

First-principles (PBE-GGA) data for Nd6TlPt2 after structural relaxation, as listed in Alexandria.

```
Nd6TlPt2
1.0
4.9262 0.0000 0.0000
-2.4631 5.5024 1.4645
0.0000 0.2735 9.5886
Pt Nd Tl
2 6 1
direct
0.3752 0.7504 0.0849
0.6248 0.2496 0.9151
0.2874 0.5748 0.8243
0.6622 0.3244 0.6067
0.7126 0.4252 0.1757
0.3378 0.6756 0.3933
0.9724 0.9449 0.8466
0.0276 0.0551 0.1534
0.0000 0.0000 0.5000
```

=====

First-principles (PBE-GGA) data for Nd2TlPt after structural relaxation, as listed in Alexandria.

```
Nd2TlPt
1.0
4.1587 0.0000 0.0000
2.0794 3.6016 0.0000
2.0794 1.2005 8.2380
Nd Pt Tl
2 1 1
direct
0.2671 0.2671 0.1987
0.0664 0.0664 0.8007
0.6660 0.6660 0.0022
0.5005 0.5005 0.4985
```

=====

Record order is preserved below.
DOS at the Fermi energy: 1.15, 0.68, 0.50, 0.86, 0.95, 1.07 states/eV/atom
Record order is preserved below.
ΔE_f: -0.25, -0.71, -0.53, -0.75, -0.53, -0.64 eV per atom